Here is a geometry-optimized Tm2S3 structure from Alexandria. Energies are from PBEsol.

```
30
Lattice="6.722 0.000 0.000 -3.361 5.821 0.000 0.000 0.000 18.268" Properties=species:S:1:pos:R:3 pbc="T T T"
S -1.135 1.966 14.173
S 1.245 2.156 11.052
S 4.708 0.000 17.314
S 1.007 1.744 17.314
S 2.354 4.077 8.180
S 1.135 1.966 5.039
S -1.245 2.156 1.918
S 2.116 3.665 1.918
S -1.007 1.744 8.180
S 4.452 0.000 5.039
S 2.014 0.000 8.180
S 2.226 3.856 14.173
S -2.116 3.665 11.052
S -2.226 3.856 5.039
S -2.354 4.077 17.314
S 2.490 0.000 1.918
S 2.270 0.000 14.173
S 4.232 0.000 11.052
Tm 0.000 3.881 3.784
Tm 0.000 3.881 12.918
Tm 3.361 1.940 9.291
Tm 0.000 0.000 0.852
Tm 0.000 0.000 15.405
Tm 0.000 0.000 6.271
Tm 3.361 1.940 0.157
Tm 0.000 0.000 9.986
Tm 0.000 3.881 9.291
Tm 0.000 3.881 0.157
Tm 3.361 1.940 12.918
Tm 3.361 1.940 3.784
```

Computed properties:
- ΔE_f (raw): -2.050 eV/atom
- DOS(E_F): 0.00 states/eV/f.u.
- Symmetry: P6_3cm (185)
- Size of the total moment: 0.0 Bohr magnetons per cell
- Total energy: -0.2440 hartree per atom